The following is a GGA-PBE calculation of a relaxed structure of AlCuHg2, from the Alexandria database.

Lattice parameters (Å, degrees): 5.2766 5.7507 3.2251 69.84 98.04 119.87
Fractional coordinates of all 4 atoms:
Hg 0.0000 0.0000 0.0000
Hg 0.5000 0.0000 0.5000
Al 0.0000 0.5000 0.5000
Cu 0.5000 0.5000 0.0000

V in Å³ per atom: 19.902
Energy relative to the elements in meV per atom: 241
Symmetry: C2/m, No. 12
Total energy in eV per atom: -1.869


The following is a GGA-PBE calculation of a relaxed structure of ZrScSn2, from the Alexandria database.

Lattice parameters (Å, degrees): 4.2898 4.5768 4.5768 90.00 90.00 90.00
Fractional coordinates of all 4 atoms:
Sn 0.0000 0.0000 0.5000
Sn 0.0000 0.5000 0.0000
Sc 0.5000 0.0000 0.0000
Zr 0.5000 0.5000 0.5000

ΔE to the lowest computed polymorph in meV/atom: 71
V in Å³ per atom: 22.464
Energy relative to the elements in meV per atom: -463
Symmetry: P4/mmm, No. 123
Total energy in eV per atom: -6.184


The following is a GGA-PBE calculation of a relaxed structure of AcLaTlAg, from the Alexandria database.

Lattice parameters (Å, degrees): 3.9185 3.9185 8.1957 90.00 90.00 90.00
Each line ends with the local moment (μB).
Fractional coordinates of all 4 atoms:
La 0.0000 0.0000 0.3701  0.08
Tl 0.5000 0.5000 0.1201  0.00
Ac 0.0000 0.0000 0.8432  0.05
Ag 0.5000 0.5000 0.5946  0.01

ΔE to the lowest computed polymorph in meV/atom: 4
V in Å³ per atom: 31.460
Energy relative to the elements in meV per atom: -316
Symmetry: P4mm, No. 99
Total energy in eV per atom: -3.879


Repeat the first record exactly.
The following is a GGA-PBE calculation of a relaxed structure of AlCuHg2, from the Alexandria database.

Lattice parameters (Å, degrees): 5.2766 5.7507 3.2251 69.84 98.04 119.87
Fractional coordinates of all 4 atoms:
Hg 0.0000 0.0000 0.0000
Hg 0.5000 0.0000 0.5000
Al 0.0000 0.5000 0.5000
Cu 0.5000 0.5000 0.0000

V in Å³ per atom: 19.902
Energy relative to the elements in meV per atom: 241
Symmetry: C2/m, No. 12
Total energy in eV per atom: -1.869


Which value of V does entry 2 give?
22.464 Å³ per atom